Crystalline Li2VO2F at its relaxed geometry. Source: the Alexandria database, functional PBE+U.

CIF file:
```
data_Li2VO2F
_chemical_formula_sum 'Li8 V4 O8 F4'
_symmetry_space_group_name_H-M 'P 1'
_symmetry_Int_Tables_number 1
_symmetry_space_group_name_Hall 'P 1'
_cell_length_a 6.019
_cell_length_b 6.019
_cell_length_c 8.984
_cell_angle_alpha 59.93
_cell_angle_beta 59.93
_cell_angle_gamma 59.88
loop_
_atom_site_label
_atom_site_fract_x
_atom_site_fract_y
_atom_site_fract_z
Li1 0.775 0.775 0.142
Li2 0.777 0.237 0.146
Li3 0.237 0.777 0.146
Li4 0.233 0.755 0.866
Li5 0.732 0.732 0.858
Li6 0.755 0.233 0.866
Li7 0.226 0.226 0.854
Li8 0.257 0.257 0.150
F1 0.003 0.503 0.996
F2 0.503 0.003 0.996
F3 0.000 0.000 0.665
F4 0.500 0.500 0.999
O1 0.994 0.994 0.353
O2 0.495 0.495 0.342
O3 0.001 0.001 0.001
O4 0.510 0.510 0.644
O5 0.994 0.483 0.353
O6 0.014 0.511 0.646
O7 0.511 0.014 0.646
O8 0.483 0.994 0.353
V1 0.257 0.257 0.493
V2 0.750 0.750 0.500
V3 0.746 0.259 0.493
V4 0.259 0.746 0.493
```

## Properties
The value obtained for the density of states at the Fermi level is 0.000 states/eV/f.u. For the uncorrected energy, the calculation gives -6.141 eV per atom. The offset from the most stable computed form is 0.089 eV per atom. As for the space group: No. 8.